Below is ZnPtSe2 after structural relaxation, with properties calculated at the PBE level.

Output
- calculated density (g/cm3) = 7.85
- raw formation energy (meV/atom) = -163
- crystal system = monoclinic
- total magnetization (μB per atom) = 0.000
- V (Å³/atom) = 22.13
- Fermi-level density of states (states/eV/f.u.) = 2.6

Cell: 3.894 3.895 5.836 Å, 90.00 90.39 90.00°
Sites, in units of the cell vectors:
Zn 0.000 0.000 0.000
Pt 0.500 0.500 0.000
Se 0.503 0.000 0.288
Se 0.997 0.500 0.712